VASP calculation (GGA-PBE) on crystalline Y3HgC at its relaxed geometry.

```
Y3HgC
1.0
3.6229 2.0917 6.5979
-3.6229 2.0917 6.5979
0.0000 -4.1834 6.5979
Y Hg C
6 2 2
direct
0.0547 0.7500 0.4453
0.2500 0.5547 0.9453
0.4453 0.0547 0.7500
0.5547 0.9453 0.2500
0.7500 0.4453 0.0547
0.9453 0.2500 0.5547
0.0000 0.0000 0.0000
0.5000 0.5000 0.5000
0.2500 0.2500 0.2500
0.7500 0.7500 0.7500
```

Output
ΔH_f (0 K) = 139 meV per atom
E_tot = -28.2 eV per formula unit
Crystal system = trigonal
Theoretical density = 5.3 g/cm3
DOS(E_F) = 9.7 states/eV per cell

=====

VASP calculation (GGA-PBE) on crystalline VSbAsIr2 at its relaxed geometry.

```
VSbAsIr2
1.0
4.6076 0.0000 0.0000
0.0000 4.6076 0.0000
0.0000 0.0000 4.5987
V Sb As Ir
1 1 1 2
direct
0.0000 0.0000 0.0000
0.5000 0.5000 0.0000
0.0000 0.0000 0.5000
0.0000 0.5000 0.5000
0.5000 0.0000 0.5000
```

Output
E_tot = -31.8 eV per formula unit
Crystal system = tetragonal
Theoretical density = 10.8 g/cm3
DOS(E_F) = 7.8 states/eV per cell
Raw formation energy = 0.759 eV/atom

=====

VASP calculation (GGA-PBE) on crystalline BaEuEr at its relaxed geometry.

```
BaEuEr
1.0
-1.9559 1.9559 8.3754
1.9559 -1.9559 8.3754
1.9559 1.9559 -8.3754
Ba Eu Er
1 1 1
direct
0.0000 0.0000 0.0000
0.6889 0.6889 0.0000
0.3315 0.3315 0.0000
```

Output
ΔH_f (0 K) = 188 meV per atom
E_tot = -16.2 eV per formula unit
Crystal system = tetragonal
Theoretical density = 5.9 g/cm3
DOS(E_F) = 4.7 states/eV per cell